No. 1
Entry from Alexandria: crystalline MnCo2Ir at its relaxed geometry (PBE).

Cell: 4.427 4.427 4.372 Å, 79.56 79.56 34.62°
Last column: magnetic moment on the atom in μB.
Fractional positions:
Mn  0.251  0.251  0.247  2.00
Co  0.002  0.002  0.992  0.95
Co  0.748  0.748  0.763  1.01
Ir  0.499  0.499  0.498  -0.07

**Energy above the most stable polymorph in this dataset**: 87.6 meV per atom
**Size of the total moment**: 3.917 μB per formula unit
**Energy relative to the elements**: 0.03 eV/atom

=====

No. 2
Entry from Alexandria: crystalline MnCo2Ir at its relaxed geometry (PBE).

Cell: 4.438 4.438 4.432 Å, 79.69 79.69 34.51°
Last column: magnetic moment on the atom in μB.
Fractional positions:
Co  0.999  0.999  0.998  1.19
Co  0.501  0.501  0.502  1.19
Ir  0.250  0.250  0.250  -0.02
Mn  0.750  0.750  0.750  2.35

**Energy above the most stable polymorph in this dataset**: 93.1 meV per atom
**Size of the total moment**: 4.756 μB per formula unit
**Energy relative to the elements**: 0.04 eV/atom

=====

No. 3
Entry from Alexandria: crystalline Mn2CoIr9 at its relaxed geometry (PBE).

Cell: 3.814 3.814 11.456 Å, 90.00 90.00 90.00°
Last column: magnetic moment on the atom in μB.
Fractional positions:
Ir  0.000  0.500  0.500  -0.18
Ir  0.500  0.500  0.000  -0.18
Mn  0.000  0.000  0.332  2.50
Ir  0.000  0.500  0.833  -0.20
Ir  0.000  0.500  0.167  -0.20
Mn  0.000  0.000  0.668  2.50
Co  0.000  0.000  0.000  -1.34
Ir  0.500  0.000  0.833  -0.20
Ir  0.500  0.000  0.167  -0.20
Ir  0.500  0.500  0.333  -0.14
Ir  0.500  0.500  0.667  -0.14
Ir  0.500  0.000  0.500  -0.18

**Size of the total moment**: 2.228 μB per formula unit
**Energy relative to the elements**: -0.10 eV/atom

=====

No. 4
Entry from Alexandria: crystalline MnCo2Ir at its relaxed geometry (PBE).

Cell: 4.370 4.370 2.630 Å, 90.00 90.00 108.12°
Last column: magnetic moment on the atom in μB.
Fractional positions:
Co  0.500  0.500  0.000  0.37
Mn  0.000  0.500  0.500  2.43
Ir  0.500  0.000  0.500  0.09
Co  0.000  0.000  0.000  0.37

**Energy above the most stable polymorph in this dataset**: 77.6 meV per atom
**Size of the total moment**: 3.326 μB per formula unit
**Energy relative to the elements**: 0.02 eV/atom

=====

No. 5
Entry from Alexandria: crystalline Mn3CoIr at its relaxed geometry (PBE).

Cell: 4.087 4.087 4.087 Å, 90.00 90.00 90.00°
Fractional positions:
Mn  0.000  0.000  0.500
Mn  0.500  0.000  0.000
Ir  0.500  0.500  0.500
Mn  0.000  0.500  0.000
Co  0.000  0.000  0.000

**Energy above the most stable polymorph in this dataset**: 0.0 meV per atom
**Size of the total moment**: 0.000 μB per formula unit
**Energy relative to the elements**: 1.32 eV/atom

=====

No. 6
Entry from Alexandria: crystalline Mn3CoIr12 at its relaxed geometry (PBE).

Cell: 3.815 3.815 15.284 Å, 90.00 90.00 90.00°
Last column: magnetic moment on the atom in μB.
Fractional positions:
Ir  0.500  0.500  0.000  -0.21
Mn  0.000  0.000  0.248  2.50
Co  0.000  0.000  0.000  -1.41
Ir  0.000  0.500  0.125  -0.21
Ir  0.500  0.500  0.750  -0.14
Ir  0.500  0.000  0.125  -0.21
Mn  0.000  0.000  0.752  2.50
Ir  0.500  0.000  0.875  -0.21
Ir  0.500  0.000  0.625  -0.17
Ir  0.000  0.500  0.375  -0.17
Ir  0.000  0.500  0.875  -0.21
Ir  0.000  0.500  0.625  -0.17
Ir  0.500  0.500  0.500  -0.16
Ir  0.500  0.500  0.250  -0.14
Mn  0.000  0.000  0.500  2.40
Ir  0.500  0.000  0.375  -0.17

**Size of the total moment**: 4.077 μB per formula unit
**Energy relative to the elements**: -0.12 eV/atom

=====

- What is the size of the total moment in the first record?
  3.917 μB per formula unit